Record 1
DFT (GGA-PBE) results for a geometry-optimized Ca5SmZn6 structure.

Summary:
space-group type	Cmmm
energy	-2.124	eV/atom

Cell lengths 5.197, 7.350, 8.188 Å; angles 90.00, 71.50, 90.00 degrees
Atoms (fractional coordinates):
Zn (0.164, 0.754, 0.671)
Sm (0.000, 0.000, 0.000)
Ca (0.666, 0.500, 0.667)
Ca (0.668, 0.000, 0.664)
Ca (0.334, 0.500, 0.333)
Ca (0.332, 0.000, 0.336)
Zn (0.164, 0.246, 0.671)
Zn (0.836, 0.246, 0.329)
Zn (0.500, 0.761, 0.000)
Zn (0.836, 0.754, 0.329)
Zn (0.500, 0.239, 0.000)
Ca (0.000, 0.500, 0.000)

=====

Record 2
DFT (GGA-PBE) results for a geometry-optimized TbDyAgBi structure.

Summary:
space-group type	F-43m
energy	-4.411	eV/atom

Cell lengths 5.307, 5.307, 5.307 Å; angles 60.00, 60.00, 60.00 degrees
Atoms (fractional coordinates):
Bi (0.250, 0.250, 0.250)
Ag (0.750, 0.750, 0.750)
Tb (0.000, 0.000, 0.000)
Dy (0.500, 0.500, 0.500)

=====

Formation enthalpy at 0 K per entry: -0.26 -0.42 eV per atom